Entry from Alexandria: a relaxed KNd2H crystal (PBE).

Results
theoretical density	4.3	g/cm³
energy	-13.9	eV for the cell shown
symmetry	No. 166
DOS at the Fermi energy	3.67	states/eV/cell

abc: 10.712 10.712 10.712
angles: 20.11 20.11 20.11
Positions (direct):
1 K 0.000 0.000 0.000
2 Nd 0.122 0.122 0.122
3 Nd 0.878 0.878 0.878
4 H 0.500 0.500 0.500



Entry from Alexandria: a relaxed AlIrW3 crystal (PBE).

Results
theoretical density	14.5	g/cm³
energy of formation	1.822	eV/atom
symmetry	No. 221
DOS at the Fermi energy	6.00	states/eV/cell
polymorph energy (0 for the lowest one)	0	meV per atom

abc: 4.451 4.451 4.451
angles: 90.00 90.00 90.00
Positions (direct):
1 Al 0.000 0.000 0.000
2 Ir 0.500 0.500 0.500
3 W 0.000 0.000 0.500
4 W 0.000 0.500 0.000
5 W 0.500 0.000 0.000



Entry from Alexandria: a relaxed SrMoPt2 crystal (PBE).

Results
theoretical density	12.6	g/cm³
energy of formation	-0.074	eV/atom
symmetry	No. 25
DOS at the Fermi energy	3.72	states/eV/cell
polymorph energy (0 for the lowest one)	170	meV per atom

abc: 2.888 4.990 5.250
angles: 90.00 90.00 90.00
Positions (direct):
1 Sr 0.000 0.000 0.000
2 Mo 0.000 0.500 0.577
3 Pt 0.500 0.000 0.502
4 Pt 0.500 0.500 0.119



Entry from Alexandria: a relaxed Ba4SbH crystal (PBE).

Results
theoretical density	4.2	g/cm³
energy	-35.8	eV for the cell shown
symmetry	No. 15
DOS at the Fermi energy	10.75	states/eV/cell

abc: 9.815 9.815 7.822
angles: 109.39 109.39 116.18
Positions (direct):
1 Ba 0.072 0.635 0.854
2 Ba 0.222 0.328 0.697
3 Ba 0.328 0.222 0.197
4 Ba 0.365 0.928 0.646
5 Ba 0.635 0.072 0.354
6 Ba 0.672 0.778 0.803
7 Ba 0.778 0.672 0.303
8 Ba 0.928 0.365 0.146
9 Sb 0.382 0.618 0.250
10 Sb 0.618 0.382 0.750
11 H 0.333 0.667 0.750
12 H 0.667 0.333 0.250



Entry from Alexandria: a relaxed CaSm4Ho3S8 crystal (PBE).

Results
theoretical density	6.6	g/cm³
energy	-99.8	eV for the cell shown
symmetry	No. 166
DOS at the Fermi energy	7.51	states/eV/cell

abc: 7.952 7.952 7.952
angles: 59.52 59.52 59.52
Positions (direct):
1 Ca 0.000 0.000 0.000
2 Sm 0.000 0.000 0.500
3 Sm 0.000 0.500 0.000
4 Sm 0.500 0.000 0.000
5 Sm 0.500 0.500 0.500
6 Ho 0.000 0.500 0.500
7 Ho 0.500 0.000 0.500
8 Ho 0.500 0.500 0.000
9 S 0.248 0.248 0.744
10 S 0.248 0.744 0.248
11 S 0.254 0.254 0.254
12 S 0.256 0.752 0.752
13 S 0.744 0.248 0.248
14 S 0.746 0.746 0.746
15 S 0.752 0.256 0.752
16 S 0.752 0.752 0.256



Entry from Alexandria: a relaxed NdSmCuNi crystal (PBE).

Results
theoretical density	7.7	g/cm³
energy of formation	-0.264	eV/atom
symmetry	No. 38
DOS at the Fermi energy	3.67	states/eV/cell

abc: 4.460 5.617 5.617
angles: 39.83 90.00 90.00
Positions (direct):
1 Nd 0.000 0.000 0.000
2 Sm 0.500 0.277 0.277
3 Cu 0.500 0.571 0.571
4 Ni 0.000 0.708 0.708



Entry from Alexandria: a relaxed In2SiAu crystal (PBE).

Results
theoretical density	8.5	g/cm³
energy	-13.8	eV for the cell shown
symmetry	No. 8
DOS at the Fermi energy	1.49	states/eV/cell

abc: 5.409 5.409 6.109
angles: 119.18 119.18 35.48
Positions (direct):
1 In 0.000 0.000 0.000
2 In 0.144 0.144 0.637
3 Si 0.774 0.774 0.131
4 Au 0.372 0.372 0.501



Entry from Alexandria: a relaxed TaH4 crystal (PBE).

Results
theoretical density	10.4	g/cm³
symmetry	No. 12
DOS at the Fermi energy	1.13	states/eV/cell
polymorph energy (0 for the lowest one)	0	meV per atom

abc: 3.482 3.482 4.501
angles: 129.46 129.46 48.75
Positions (direct):
1 Ta 0.000 0.000 0.000
2 H 0.209 0.209 0.597
3 H 0.392 0.392 0.188
4 H 0.608 0.608 0.812
5 H 0.791 0.791 0.403